Entry 1:
# Tm2PaSe, relaxed, DFT PBE-GGA
# * formation energy (no corrections): -0.30 eV per atom
# * magnetization: 0.00 μB/cell
data_Tm2PaSe
_chemical_formula_sum 'Tm6 Pa3 Se3'
_space_group_name_H-M_alt 'R -3 m'
_space_group_IT_number 166
_space_group_name_Hall '-R 3 2"'
_cell_length_a 3.4618
_cell_length_b 3.4618
_cell_length_c 30.9963
_cell_angle_alpha 90.00
_cell_angle_beta 90.00
_cell_angle_gamma 120.00
loop_
_atom_site_label
_atom_site_type_symbol
_atom_site_fract_x
_atom_site_fract_y
_atom_site_fract_z
_atom_site_occupancy
Tm1 Tm 0.0000 0.0000 0.1041 1
Pa1 Pa 0.0000 0.0000 0.0000 1
Se1 Se 0.0000 0.0000 0.5000 1

Entry 2:
# Tm2Pa2Se7, relaxed, DFT PBE-GGA
# * formation energy (no corrections): -1.55 eV per atom
# * magnetization: 3.37 μB/cell
data_Tm2Pa2Se7
_chemical_formula_sum 'Tm4 Pa4 Se14'
_space_group_name_H-M_alt 'I m m 2'
_space_group_IT_number 44
_cell_length_a 4.0087
_cell_length_b 14.6552
_cell_length_c 9.0059
_cell_angle_alpha 90.00
_cell_angle_beta 90.00
_cell_angle_gamma 90.00
loop_
_space_group_symop_operation_xyz
'x,y,z'
'-x,-y,z'
'-x,y,z'
'x,-y,z'
'x+1/2,y+1/2,z+1/2'
'-x+1/2,-y+1/2,z+1/2'
'-x+1/2,y+1/2,z+1/2'
'x+1/2,-y+1/2,z+1/2'
loop_
_atom_site_label
_atom_site_type_symbol
_atom_site_fract_x
_atom_site_fract_y
_atom_site_fract_z
_atom_site_occupancy
Tm1 Tm 0.0000 0.0000 0.0000 1
Tm2 Tm 0.0000 0.5000 0.0379 1
Pa1 Pa 0.0000 0.2395 0.2286 1
Se1 Se 0.0000 0.0000 0.3124 1
Se2 Se 0.0000 0.1094 0.7195 1
Se3 Se 0.0000 0.3184 0.9319 1
Se4 Se 0.0000 0.3605 0.5387 1

Entry 3:
# TmPaSe2, relaxed, DFT PBE-GGA
# * formation energy (no corrections): -1.19 eV per atom
# * magnetization: 1.01 μB/cell
# * energy relative to the lowest polymorph listed for this composition: 247 meV/atom
data_TmPaSe2
_chemical_formula_sum 'Tm1 Pa1 Se2'
_space_group_name_H-M_alt 'P 4/m m m'
_space_group_IT_number 123
_space_group_name_Hall '-P 4 2'
_cell_length_a 4.9546
_cell_length_b 4.9546
_cell_length_c 3.5432
_cell_angle_alpha 90.00
_cell_angle_beta 90.00
_cell_angle_gamma 90.00
loop_
_atom_site_label
_atom_site_type_symbol
_atom_site_fract_x
_atom_site_fract_y
_atom_site_fract_z
_atom_site_occupancy
Tm1 Tm 0.0000 0.0000 0.0000 1
Pa1 Pa 0.5000 0.5000 0.0000 1
Se1 Se 0.0000 0.5000 0.5000 1

Q: Look up the formation energy (no corrections) of the third one.
A: -1.19 eV per atom